Run a
Material: Li4CaCd
Method: DFT, GGA-PBE
State: relaxed

Computed properties:
The volume is 288.7 Å³/cell. The space group is Pmma, No. 51. For the density of states at the Fermi level, the calculation gives 3.04 states/eV/f.u.

Cell and atoms, written as POSCAR:
```
Li4CaCd
1.0
8.3290 0.0000 0.0000
0.0000 4.4121 0.0000
0.0000 0.0000 7.8552
Li Ca Cd
8 2 2
Direct
0.0000 0.0000 0.0000
0.0578 0.5000 0.3070
0.2500 0.5000 0.9734
0.4422 0.5000 0.3070
0.5000 0.0000 0.0000
0.5578 0.5000 0.6930
0.7500 0.5000 0.0266
0.9422 0.5000 0.6930
0.2500 0.0000 0.6258
0.7500 0.0000 0.3742
0.2500 0.0000 0.2222
0.7500 0.0000 0.7778
```

***

Run b
Material: Li4CaCd
Method: DFT, GGA-PBE
State: relaxed

Computed properties:
The volume is 129.2 Å³/cell. The space group is F-43m, No. 216. For the density of states at the Fermi level, the calculation gives 4.29 states/eV/f.u.

Cell and atoms, written as POSCAR:
```
Li4CaCd
1.0
0.0000 4.0129 4.0129
4.0129 0.0000 4.0129
4.0129 4.0129 0.0000
Li Ca Cd
4 1 1
Direct
0.1229 0.1229 0.1229
0.1229 0.1229 0.6313
0.1229 0.6313 0.1229
0.6313 0.1229 0.1229
0.5000 0.5000 0.5000
0.7500 0.7500 0.7500
```

***

Most stable to least stable, the ends of the list are run b and run a.